[1]
A plane-wave DFT calculation with PBE with a Hubbard U was carried out for an optimized crystal structure of NaTl2Co2F7.

a = 4.122 Å, b = 4.122 Å, c = 11.532 Å
α = 79.11°, β = 79.11°, γ = 89.96°
Element x y z (fractional)
Na: 0.000 0.000 0.000
Tl: 0.816 0.816 0.367
Tl: 0.184 0.184 0.633
Co: 0.596 0.596 0.818
Co: 0.404 0.404 0.182
F: 0.500 0.500 0.000
F: 0.301 0.301 0.365
F: 0.699 0.699 0.635
F: 0.907 0.405 0.174
F: 0.405 0.907 0.174
F: 0.595 0.093 0.826
F: 0.093 0.595 0.826

Total energy = -4.55 eV per atom
D(E_F) = 0.000 states/eV/f.u.
Total moment = 6.00 Bohr magnetons per cell

=====

[2]
A plane-wave DFT calculation with PBE with a Hubbard U was carried out for an optimized crystal structure of Na2TlCoF8.

a = 5.047 Å, b = 5.072 Å, c = 6.761 Å
α = 88.57°, β = 91.44°, γ = 92.23°
Element x y z (fractional)
Na: 0.499 0.500 0.735
Na: 0.501 0.500 0.265
Tl: 0.000 0.000 0.000
Co: 0.000 0.000 0.500
F: 0.180 0.812 0.270
F: 0.695 0.704 0.999
F: 0.827 0.177 0.286
F: 0.820 0.188 0.730
F: 0.305 0.296 0.001
F: 0.173 0.823 0.714
F: 0.737 0.745 0.501
F: 0.263 0.255 0.499

Total energy = -4.26 eV per atom
Total moment = 2.02 Bohr magnetons per cell

=====

[3]
A plane-wave DFT calculation with PBE with a Hubbard U was carried out for an optimized crystal structure of NaTl3Co2F9.

a = 6.003 Å, b = 6.003 Å, c = 7.341 Å
α = 90.00°, β = 90.00°, γ = 120.00°
Element x y z (fractional)
Na: 0.000 0.000 0.500
Tl: 0.333 0.667 0.652
Tl: 0.000 0.000 0.000
Tl: 0.667 0.333 0.348
Co: 0.333 0.667 0.158
Co: 0.667 0.333 0.842
F: 0.822 0.178 0.691
F: 0.822 0.643 0.691
F: 0.357 0.178 0.691
F: 0.643 0.822 0.309
F: 0.178 0.357 0.309
F: 0.178 0.822 0.309
F: 0.500 0.000 0.000
F: 0.000 0.500 0.000
F: 0.500 0.500 0.000

Total energy = -4.39 eV per atom
D(E_F) = 7.403 states/eV/f.u.
Total moment = 7.00 Bohr magnetons per cell

=====

[4]
A plane-wave DFT calculation with PBE with a Hubbard U was carried out for an optimized crystal structure of NaTl2Co3F12.

a = 7.098 Å, b = 7.098 Å, c = 7.098 Å
α = 63.49°, β = 63.49°, γ = 63.49°
Element x y z (fractional)
Na: 0.000 0.000 0.000
Tl: 0.621 0.621 0.621
Tl: 0.379 0.379 0.379
Co: 0.500 0.000 0.000
Co: 0.000 0.500 0.000
Co: 0.000 0.000 0.500
F: 0.288 0.288 0.908
F: 0.886 0.886 0.403
F: 0.403 0.886 0.886
F: 0.908 0.288 0.288
F: 0.886 0.403 0.886
F: 0.288 0.908 0.288
F: 0.712 0.712 0.092
F: 0.114 0.114 0.597
F: 0.597 0.114 0.114
F: 0.092 0.712 0.712
F: 0.114 0.597 0.114
F: 0.712 0.092 0.712

Total energy = -4.40 eV per atom
D(E_F) = 2.277 states/eV/f.u.
Total moment = 6.00 Bohr magnetons per cell

=====

[5]
A plane-wave DFT calculation with PBE with a Hubbard U was carried out for an optimized crystal structure of Na2Tl3CoF9.

a = 6.079 Å, b = 6.079 Å, c = 7.276 Å
α = 90.00°, β = 90.00°, γ = 120.00°
Element x y z (fractional)
Na: 0.333 0.667 0.205
Na: 0.667 0.333 0.795
Tl: 0.333 0.667 0.744
Tl: 0.000 0.000 0.000
Tl: 0.667 0.333 0.256
Co: 0.000 0.000 0.500
F: 0.856 0.144 0.647
F: 0.856 0.712 0.647
F: 0.288 0.144 0.647
F: 0.712 0.856 0.353
F: 0.144 0.288 0.353
F: 0.144 0.856 0.353
F: 0.500 0.000 0.000
F: 0.000 0.500 0.000
F: 0.500 0.500 0.000

Total energy = -4.15 eV per atom
D(E_F) = 9.489 states/eV/f.u.
Total moment = 0.00 Bohr magnetons per cell

=====

[6]
A plane-wave DFT calculation with PBE with a Hubbard U was carried out for an optimized crystal structure of Na2TmCo3F12.

a = 6.813 Å, b = 6.813 Å, c = 6.813 Å
α = 66.02°, β = 66.02°, γ = 66.02°
Element x y z (fractional)
Na: 0.643 0.643 0.643
Na: 0.357 0.357 0.357
Tm: 0.000 0.000 0.000
Co: 0.500 0.000 0.000
Co: 0.000 0.500 0.000
Co: 0.000 0.000 0.500
F: 0.263 0.263 0.893
F: 0.865 0.865 0.394
F: 0.394 0.865 0.865
F: 0.893 0.263 0.263
F: 0.865 0.394 0.865
F: 0.263 0.893 0.263
F: 0.737 0.737 0.107
F: 0.135 0.135 0.606
F: 0.606 0.135 0.135
F: 0.107 0.737 0.737
F: 0.135 0.606 0.135
F: 0.737 0.107 0.737

Total energy = -5.07 eV per atom
D(E_F) = 6.034 states/eV/f.u.
Total moment = 10.00 Bohr magnetons per cell